# 1
DFT (GGA-PBE) results for a relaxed Al2CrP crystal.

Structure (extended XYZ):
```
4
Lattice="-0.6572 -1.7042 -2.7208 2.5934 -1.9191 0.5756 -2.8864 -3.1076 2.6437" Properties=species:S:1:pos:R:3 pbc="T T T"
Cr 0.2465 -2.5886 -0.4117
Al -1.4313 -1.5410 1.3109
Al -0.0119 -0.0128 0.0109
P -1.1968 -4.1424 0.9102
```

Calculated values
**ΔH_f (0 K)**: -0.11 eV/atom
**VASP energy**: -5.737 eV per atom

=====

# 2
DFT (GGA-PBE) results for a relaxed AlCrP2 crystal.

Structure (extended XYZ):
```
4
Lattice="-1.8716 3.1987 2.0056 -0.1351 -3.1745 2.7679 2.9000 0.9354 1.2143" Properties=species:S:1:pos:R:3 pbc="T T T"
Cr 1.3825 -1.1195 1.9911
Al 0.5142 2.0671 1.6099
P 0.0000 0.0000 0.0000
P -1.0033 0.0121 2.3867
```

Calculated values
**ΔH_f (0 K)**: 0.07 eV/atom
**VASP energy**: -5.973 eV per atom

=====

# 3
DFT (GGA-PBE) results for a relaxed Al2CrP crystal.

Structure (extended XYZ):
```
4
Lattice="4.9507 0.0086 -0.0009 2.0232 4.5184 0.0009 -2.9620 -3.0722 2.5095" Properties=species:S:1:pos:R:3 pbc="T T T"
Al 0.1159 0.0753 0.0000
Al 2.6699 -0.4441 1.2543
P 1.4046 1.9396 1.2552
Cr 3.3084 2.1476 0.0000
```

Calculated values
**ΔH_f (0 K)**: -0.03 eV/atom
**VASP energy**: -5.661 eV per atom

=====

# 4
DFT (GGA-PBE) results for a relaxed AlCr2P crystal.

Structure (extended XYZ):
```
4
Lattice="-2.5445 1.4141 0.7554 -0.8376 -2.3808 1.6354 2.4593 2.1108 4.3325" Properties=species:S:1:pos:R:3 pbc="T T T"
Cr -1.0269 0.0867 2.3655
Cr 0.0107 0.0092 0.0188
P 1.1588 0.9946 2.0415
Al 0.1642 1.1090 4.4639
```

Calculated values
**ΔH_f (0 K)**: -0.24 eV/atom
**Offset from the most stable computed form**: 0.0 meV per atom
**VASP energy**: -7.341 eV per atom

=====

# 5
DFT (GGA-PBE) results for a relaxed AlCr2P crystal.

Structure (extended XYZ):
```
8
Lattice="-3.7956 5.5562 -0.4312 -1.1151 -1.2683 -6.5278 -4.4449 0.8310 -2.8845" Properties=species:S:1:pos:R:3 pbc="T T T"
Al -2.4553 2.1439 -3.4795
Al -4.0077 0.8533 -6.4459
Cr -7.6999 4.2961 -8.6591
Cr -5.1057 2.3102 -4.3664
Cr -2.0462 -0.2365 -4.8280
Cr -3.8593 3.8679 -1.8334
P -5.3479 4.2656 -3.3976
P 0.0000 0.0000 0.0000
```

Calculated values
**ΔH_f (0 K)**: 0.24 eV/atom
**Offset from the most stable computed form**: 477.9 meV per atom
**VASP energy**: -6.863 eV per atom

=====

# 6
DFT (GGA-PBE) results for a relaxed AlCr2P crystal.

Structure (extended XYZ):
```
4
Lattice="4.6052 0.0003 0.0069 -1.6944 4.2821 0.0069 0.5033 0.7404 2.4991" Properties=species:S:1:pos:R:3 pbc="T T T"
Cr 1.4554 2.1412 0.0069
Cr 0.0000 0.0000 0.0000
Al -0.5956 2.5113 1.2530
P 2.5542 0.3703 1.2530
```

Calculated values
**ΔH_f (0 K)**: 0.06 eV/atom
**Offset from the most stable computed form**: 303.7 meV per atom
**VASP energy**: -7.037 eV per atom

=====

# 7
DFT (GGA-PBE) results for a relaxed Al2CrP crystal.

Structure (extended XYZ):
```
4
Lattice="2.7018 0.0000 0.0000 0.0000 2.7018 0.0000 0.0000 0.0000 7.8344" Properties=species:S:1:pos:R:3 pbc="T T T"
Al 0.0000 0.0000 3.7447
Al 0.0000 0.0000 0.1725
P 1.3509 1.3509 5.8758
Cr 1.3509 1.3509 1.9586
```

Calculated values
**ΔH_f (0 K)**: 0.14 eV/atom
**VASP energy**: -5.489 eV per atom

=====

# 8
DFT (GGA-PBE) results for a relaxed AlCr2P crystal.

Structure (extended XYZ):
```
4
Lattice="4.1454 0.0000 0.0000 0.0000 2.7773 -0.0025 0.0000 1.2358 4.4581" Properties=species:S:1:pos:R:3 pbc="T T T"
Cr 0.0000 0.2365 0.1814
Cr 2.0727 1.3182 1.1287
Al 2.0727 2.8757 3.2643
P 0.0000 1.5893 2.1090
```

Calculated values
**ΔH_f (0 K)**: -0.03 eV/atom
**Offset from the most stable computed form**: 208.4 meV per atom
**VASP energy**: -7.132 eV per atom

=====

# 9
DFT (GGA-PBE) results for a relaxed AlCrP2 crystal.

Structure (extended XYZ):
```
4
Lattice="3.5114 0.0000 0.0000 0.0000 3.5114 0.0000 0.0000 0.0000 5.0349" Properties=species:S:1:pos:R:3 pbc="T T T"
Al 0.0000 0.0000 1.8904
Cr 1.7557 1.7557 4.4033
P 1.7557 1.7557 1.8863
P 0.0000 0.0000 4.4073
```

Calculated values
**ΔH_f (0 K)**: -0.22 eV/atom
**VASP energy**: -6.264 eV per atom

=====

# 10
DFT (GGA-PBE) results for a relaxed Al2CrP crystal.

Structure (extended XYZ):
```
4
Lattice="2.6844 -0.0212 0.0000 -0.5788 2.6214 0.0000 0.0000 0.0000 7.9829" Properties=species:S:1:pos:R:3 pbc="T T T"
Cr 1.0528 1.3001 1.9957
Al 0.0000 0.0000 3.8670
Al 0.0000 0.0000 0.1245
P 1.0528 1.3001 5.9872
```

Calculated values
**ΔH_f (0 K)**: 0.13 eV/atom
**VASP energy**: -5.503 eV per atom

=====

# 11
DFT (GGA-PBE) results for a relaxed AlCr2P crystal.

Structure (extended XYZ):
```
4
Lattice="3.2786 0.0000 0.0000 0.0000 2.8275 -0.0226 0.0000 1.9188 5.4707" Properties=species:S:1:pos:R:3 pbc="T T T"
Al 1.6393 3.5597 4.0861
Cr 0.0000 2.0881 2.5702
Cr 0.0000 0.2850 0.1539
P 1.6393 1.1866 1.3620
```

Calculated values
**ΔH_f (0 K)**: -0.10 eV/atom
**Offset from the most stable computed form**: 136.2 meV per atom
**VASP energy**: -7.205 eV per atom

=====

# 12
DFT (GGA-PBE) results for a relaxed AlCrP3 crystal.

Structure (extended XYZ):
```
5
Lattice="4.4648 0.0000 0.0000 0.0000 4.4648 0.0000 0.0000 0.0000 4.4648" Properties=species:S:1:pos:R:3 pbc="T T T"
Cr 0.0000 0.0000 0.0000
Al 2.2324 2.2324 2.2324
P 2.2324 0.0000 0.0000
P 0.0000 2.2324 0.0000
P 0.0000 0.0000 2.2324
```

Calculated values
**ΔH_f (0 K)**: 0.46 eV/atom
**Offset from the most stable computed form**: 0.0 meV per atom
**VASP energy**: -5.460 eV per atom

=====

# 13
DFT (GGA-PBE) results for a relaxed AlCrP2 crystal.

Structure (extended XYZ):
```
4
Lattice="3.3276 0.0000 -0.0030 0.0000 3.0434 0.0000 0.0109 1.5217 5.9751" Properties=species:S:1:pos:R:3 pbc="T T T"
P 1.2555 1.5217 2.6685
P 2.9198 1.5217 5.3922
Cr 2.9198 3.0434 3.6098
Al 1.2456 1.5217 0.2721
```

Calculated values
**ΔH_f (0 K)**: -0.20 eV/atom
**VASP energy**: -6.251 eV per atom

=====

# 14
DFT (GGA-PBE) results for a relaxed AlCrP2 crystal.

Structure (extended XYZ):
```
4
Lattice="2.9038 -0.0023 0.0000 0.0016 2.9038 0.0000 0.0000 0.0000 6.3403" Properties=species:S:1:pos:R:3 pbc="T T T"
Al 1.4527 1.4508 1.5851
P 0.0000 0.0000 3.4352
P 0.0000 0.0000 6.0753
Cr 1.4527 1.4508 4.7552
```

Calculated values
**ΔH_f (0 K)**: -0.09 eV/atom
**VASP energy**: -6.134 eV per atom

=====

# 15
DFT (GGA-PBE) results for a relaxed AlCrP2 crystal.

Structure (extended XYZ):
```
8
Lattice="5.5168 0.0000 0.0000 0.0000 5.5168 0.0000 2.7584 2.7584 5.3477" Properties=species:S:1:pos:R:3 pbc="T T T"
Cr 5.5168 2.7584 2.6739
Cr 0.0000 0.0000 0.0000
Al 2.7584 5.5168 2.6739
Al 2.7584 2.7584 0.0000
P 6.8960 6.9299 4.0108
P 4.1715 1.3792 1.3369
P 4.1376 4.1036 4.0108
P 1.3452 4.1376 1.3369
```

Calculated values
**ΔH_f (0 K)**: -0.18 eV/atom
**VASP energy**: -6.230 eV per atom

=====

# 16
DFT (GGA-PBE) results for a relaxed AlCr2P4 crystal.

Structure (extended XYZ):
```
7
Lattice="4.5759 0.0000 0.0000 0.0000 4.5759 0.0000 2.2879 2.2879 6.0622" Properties=species:S:1:pos:R:3 pbc="T T T"
Cr 4.5759 4.5759 4.7571
Cr 2.2879 2.2879 1.3051
P 0.0000 2.2879 0.0000
P 4.5759 4.5759 2.5357
P 2.2879 0.0000 0.0000
P 2.2879 2.2879 3.5265
Al 0.0000 0.0000 0.0000
```

Calculated values
**ΔH_f (0 K)**: 0.43 eV/atom
**VASP energy**: -5.947 eV per atom

=====

# 17
DFT (GGA-PBE) results for a relaxed AlCrP2 crystal.

Structure (extended XYZ):
```
4
Lattice="-3.2512 -4.8760 -4.5354 -0.3843 -5.2343 -5.2316 -1.5319 -6.6517 -2.8851" Properties=species:S:1:pos:R:3 pbc="T T T"
P -0.0194 -0.0630 -0.0475
P -1.3281 -4.3082 -3.2519
Cr -3.8286 -12.4194 -9.3744
Al -2.5749 -8.3525 -6.3045
```

Calculated values
**ΔH_f (0 K)**: 0.09 eV/atom
**VASP energy**: -5.952 eV per atom

=====

# 18
DFT (GGA-PBE) results for a relaxed Al2CrP crystal.

Structure (extended XYZ):
```
8
Lattice="-0.6967 -1.6202 6.7914 3.2913 -6.0954 -1.1165 3.4874 -2.7642 3.3230" Properties=species:S:1:pos:R:3 pbc="T T T"
P 4.0380 -6.3587 2.5220
P 1.2973 -3.8578 2.8375
Cr 0.0000 0.0000 0.0000
Cr 2.0440 -4.1211 6.4760
Al 2.8191 -4.7560 1.2031
Al 4.7786 -8.6257 7.4942
Al 3.6957 -5.1650 4.5840
Al 0.8705 -2.4128 4.7146
```

Calculated values
**ΔH_f (0 K)**: 0.36 eV/atom
**VASP energy**: -5.270 eV per atom

=====

# 19
DFT (GGA-PBE) results for a relaxed AlCrP2 crystal.

Structure (extended XYZ):
```
4
Lattice="4.7479 -0.0697 -0.0017 1.8794 4.3606 0.0017 -2.8695 -2.8314 2.5092" Properties=species:S:1:pos:R:3 pbc="T T T"
P 6.5865 4.2646 0.0000
P 2.6567 -0.3385 1.2537
Al 3.3964 2.1991 0.0000
Cr 1.0590 1.7708 1.2555
```

Calculated values
**ΔH_f (0 K)**: 0.10 eV/atom
**VASP energy**: -5.946 eV per atom

=====

# 20
DFT (GGA-PBE) results for a relaxed AlCr2P crystal.

Structure (extended XYZ):
```
4
Lattice="4.6620 -0.0036 -0.0006 1.9408 4.2388 0.0006 -2.9868 -2.6081 2.4518" Properties=species:S:1:pos:R:3 pbc="T T T"
Cr 6.5178 4.1807 0.0000
Cr 2.4870 -0.2479 1.2256
Al 1.1134 1.8649 1.2262
P 3.4023 2.1823 0.0000
```

Calculated values
**ΔH_f (0 K)**: -0.09 eV/atom
**Offset from the most stable computed form**: 153.2 meV per atom
**VASP energy**: -7.188 eV per atom

=====

# 21
DFT (GGA-PBE) results for a relaxed AlCrP2 crystal.

Structure (extended XYZ):
```
8
Lattice="1.5038 -2.6046 0.0000 1.5038 2.6046 0.0000 0.0000 0.0000 14.3194" Properties=species:S:1:pos:R:3 pbc="T T T"
Cr 0.0000 0.0000 7.1597
Cr 0.0000 0.0000 0.0000
P 1.5038 -0.8682 12.7534
P 1.5038 -0.8682 8.7256
P 1.5038 0.8682 5.5937
P 1.5038 0.8682 1.5660
Al 1.5038 0.8682 10.7395
Al 1.5038 -0.8682 3.5798
```

Calculated values
**ΔH_f (0 K)**: -0.14 eV/atom
**VASP energy**: -6.182 eV per atom

=====

# 22
DFT (GGA-PBE) results for a relaxed Al2CrP crystal.

Structure (extended XYZ):
```
4
Lattice="-2.3786 -1.5557 0.8608 1.7673 -1.9104 1.4306 -0.4263 3.6122 5.3505" Properties=species:S:1:pos:R:3 pbc="T T T"
P -0.6045 0.7987 4.8958
Cr -0.2330 1.9743 2.9243
Al -0.4136 3.5041 5.1903
Al -0.4261 -0.7127 2.6571
```

Calculated values
**ΔH_f (0 K)**: -0.14 eV/atom
**VASP energy**: -5.766 eV per atom

=====

# 23
DFT (GGA-PBE) results for a relaxed AlCr2P crystal.

Structure (extended XYZ):
```
4
Lattice="4.4869 -0.0014 -0.0537 3.5607 2.7301 -0.0537 1.1008 0.3733 4.0502" Properties=species:S:1:pos:R:3 pbc="T T T"
P 4.6032 1.5608 1.8437
Cr 1.0811 0.3666 3.9536
Cr 2.2223 0.7535 1.1353
Al 6.9168 2.3453 3.0317
```

Calculated values
**ΔH_f (0 K)**: -0.08 eV/atom
**Offset from the most stable computed form**: 159.7 meV per atom
**VASP energy**: -7.181 eV per atom

=====

# 24
DFT (GGA-PBE) results for a relaxed AlCr2P crystal.

Structure (extended XYZ):
```
4
Lattice="-2.8583 0.3543 0.2307 -0.3388 -2.8617 0.1976 0.5197 0.3464 5.9076" Properties=species:S:1:pos:R:3 pbc="T T T"
Cr 0.2363 0.1575 2.6864
Cr 0.0235 0.0157 0.2674
Al -1.2087 -0.9938 4.6449
P -1.4686 -1.1671 1.6911
```

Calculated values
**ΔH_f (0 K)**: -0.15 eV/atom
**Offset from the most stable computed form**: 90.4 meV per atom
**VASP energy**: -7.250 eV per atom

=====

# 25
DFT (GGA-PBE) results for a relaxed AlCr2P crystal.

Structure (extended XYZ):
```
4
Lattice="-2.6425 3.4174 -0.9075 -3.4771 -1.7619 -2.0713 1.8210 -1.1587 3.8505" Properties=species:S:1:pos:R:3 pbc="T T T"
Al -1.9407 1.5432 0.7268
P -2.3580 -1.0464 0.1449
Cr -3.0598 0.8277 -1.4894
Cr 0.0000 0.0000 0.0000
```

Calculated values
**ΔH_f (0 K)**: 0.03 eV/atom
**Offset from the most stable computed form**: 273.7 meV per atom
**VASP energy**: -7.067 eV per atom

=====

# 26
DFT (GGA-PBE) results for a relaxed Al2CrP crystal.

Structure (extended XYZ):
```
4
Lattice="-4.4834 2.1272 6.1510 -3.1954 -0.3103 7.2218 -1.7853 2.2862 7.3517" Properties=species:S:1:pos:R:3 pbc="T T T"
Al -9.4034 4.0767 20.5915
Al -7.1629 3.1054 15.6852
Cr -4.8164 2.0881 10.5470
P -2.2777 0.9875 4.9876
```

Calculated values
**ΔH_f (0 K)**: -0.07 eV/atom
**VASP energy**: -5.698 eV per atom

=====

# 27
DFT (GGA-PBE) results for a relaxed AlCrP2 crystal.

Structure (extended XYZ):
```
4
Lattice="-3.9946 1.6504 -1.2049 -2.6149 -3.5894 0.6413 2.6681 2.4529 2.6452" Properties=species:S:1:pos:R:3 pbc="T T T"
Al -2.3157 1.5669 0.5793
P -3.3414 -0.9802 -0.2849
P -6.5729 -1.9282 -0.5605
Cr -1.6258 -1.0530 1.5024
```

Calculated values
**ΔH_f (0 K)**: 0.06 eV/atom
**VASP energy**: -5.983 eV per atom

=====

# 28
DFT (GGA-PBE) results for a relaxed AlCrP2 crystal.

Structure (extended XYZ):
```
4
Lattice="-3.2418 -1.2227 -0.6912 1.9873 -3.8860 -2.4469 0.0579 -1.7616 2.8447" Properties=species:S:1:pos:R:3 pbc="T T T"
P 0.0000 0.0000 0.0000
P -0.6273 -2.5543 -1.5690
Cr 1.0226 -2.8238 0.1989
Al -1.5920 -1.4921 1.0768
```

Calculated values
**ΔH_f (0 K)**: 0.09 eV/atom
**VASP energy**: -5.952 eV per atom

=====

# 29
DFT (GGA-PBE) results for a relaxed AlCrP2 crystal.

Structure (extended XYZ):
```
4
Lattice="-0.6378 -1.9679 5.0884 -4.3259 -2.7900 1.9167 3.5439 0.2610 -4.1886" Properties=species:S:1:pos:R:3 pbc="T T T"
Al -2.4819 -2.3790 3.5025
Cr 0.2121 -2.0430 2.2012
P -1.6320 -2.4540 0.6153
P 0.0000 0.0000 0.0000
```

Calculated values
**ΔH_f (0 K)**: 0.09 eV/atom
**VASP energy**: -5.954 eV per atom

=====

# 30
DFT (GGA-PBE) results for a relaxed Al2CrP crystal.

Structure (extended XYZ):
```
4
Lattice="4.4829 -0.0605 0.0666 3.5195 2.7772 0.0666 0.6802 0.2309 4.4672" Properties=species:S:1:pos:R:3 pbc="T T T"
P 2.0116 0.6829 1.3579
Al 6.5832 2.2350 3.3336
Al 0.7024 0.2385 4.4593
Cr 4.4069 1.4961 2.2170
```

Calculated values
**ΔH_f (0 K)**: -0.05 eV/atom
**VASP energy**: -5.684 eV per atom